DFT (PBE-GGA) results for SrCa2Al after structural relaxation.

Structure (POSCAR):
```
SrCa2Al
1.0
11.906 0.082 0.048
11.256 3.879 0.048
11.256 1.925 3.368
Sr Ca Al
1 2 1
Direct
0.250 0.250 0.250
0.016 0.016 0.016
0.484 0.484 0.484
0.750 0.750 0.750
```

Calculated values
The formation energy is 0.052 eV per atom. The calculation puts the total DFT energy (no corrections) at -2.30 eV per atom. The calculation puts the density of states at the Fermi level at 2.8 states/eV per cell. The calculation puts the spin magnetization at 0.00 μB/atom.

DFT (PBE-GGA) results for DyLuOs after structural relaxation.

Structure (POSCAR):
```
DyLuOs
1.0
3.365 0.000 0.000
0.000 3.365 0.000
-1.683 -1.683 6.456
Lu Os Dy
1 1 1
Direct
0.292 0.292 0.584
0.669 0.669 0.338
0.039 0.039 0.078
```

Calculated values
The formation energy is -0.285 eV per atom. The calculation puts the total DFT energy (no corrections) at -7.07 eV per atom. The calculation puts the density of states at the Fermi level at 1.3 states/eV per cell. Its energy above the most stable polymorph in this dataset is 0 meV/atom. The calculation puts the spin magnetization at 0.00 μB/atom.